# Ce3Bi2Pb

Ce3Bi2Pb after structural relaxation (PBE, Alexandria via LeMat-Bulk).

Lattice parameters (Å, degrees): 4.738 6.430 8.263 112.90 90.00 90.00
Sites, in units of the cell vectors:
Bi 0.500 0.648 0.297
Bi 0.500 0.352 0.703
Ce 0.000 0.500 0.000
Ce 0.500 0.858 0.716
Ce 0.500 0.142 0.284
Pb 0.000 0.000 0.000

energy of formation	-0.413	eV per atom

# MgZr2Al2

MgZr2Al2 after structural relaxation (PBE, Alexandria via LeMat-Bulk).

Lattice parameters (Å, degrees): 4.290 4.290 6.944 72.00 72.00 90.00
Sites, in units of the cell vectors:
Zr 0.750 0.250 0.500
Zr 0.250 0.750 0.500
Al 0.401 0.401 0.198
Al 0.599 0.599 0.802
Mg 0.000 0.000 0.000

energy of formation	0.137	eV per atom

# La5NdGa6

La5NdGa6 after structural relaxation (PBE, Alexandria via LeMat-Bulk).

Lattice parameters (Å, degrees): 5.315 7.517 8.414 90.00 71.74 90.00
Sites, in units of the cell vectors:
Ga 0.500 0.753 0.000
Ga 0.500 0.247 0.000
Ga 0.164 0.754 0.672
Ga 0.836 0.246 0.328
Ga 0.836 0.754 0.328
Ga 0.164 0.246 0.672
La 0.669 0.500 0.662
La 0.331 0.500 0.338
La 0.000 0.500 0.000
La 0.333 0.000 0.333
La 0.667 0.000 0.667
Nd 0.000 0.000 0.000

energy of formation	-0.565	eV per atom

# CaHI

CaHI after structural relaxation (PBE, Alexandria via LeMat-Bulk).

Lattice parameters (Å, degrees): 4.029 4.029 9.195 90.00 90.00 90.00
Sites, in units of the cell vectors:
H 0.000 0.000 0.000
H 0.500 0.500 0.000
I 0.500 0.000 0.303
I 0.000 0.500 0.697
Ca 0.000 0.500 0.131
Ca 0.500 0.000 0.869

E	-20.524	eV/cell

| no. | mass density (g cm⁻³) | size of the total moment (μB/atom) |
| --- | --- | --- |
| 1 | 7.5 | 0.34 |
| 2 | 3.8 | 0.00 |
| 3 | 6.5 | 0.00 |
| 4 | 3.7 | 0.00 |